Record 1
Crystalline LiTl2FeI6 at its relaxed geometry. Source: OQMD via LeMat-Bulk, functional GGA-PBE. Values from VASP.

Computed properties:
- Symmetry: C2/m (12)
- Total DFT energy (no corrections): -0.21128 Ry/atom
- V: 36.2 Å³ per atom

```
&SYSTEM
  ibrav = 0, nat = 10, ntyp = 4
/
ATOMIC_SPECIES
Li 6.94 Li.upf
Tl 204.38 Tl.upf
Fe 55.84 Fe.upf
I 126.90 I.upf
CELL_PARAMETERS angstrom
6.923 -3.999 0.000
6.923 3.999 0.000
-4.613 0.000 6.530
ATOMIC_POSITIONS crystal
Li 0.000 0.000 0.000
Tl 0.250 0.250 0.750
Tl 0.750 0.750 0.250
Fe 0.500 0.500 0.500
I 0.255 0.255 0.254
I 0.255 0.744 0.744
I 0.256 0.745 0.256
I 0.744 0.255 0.744
I 0.745 0.256 0.256
I 0.745 0.745 0.746
```



Record 2
Crystalline MgFe2I8 at its relaxed geometry. Source: OQMD via LeMat-Bulk, functional GGA-PBE. Values from VASP.

Computed properties:
- Symmetry: C2/m (12)
- Total DFT energy (no corrections): -0.23259 Ry/atom
- V: 46.3 Å³ per atom

```
&SYSTEM
  ibrav = 0, nat = 11, ntyp = 3
/
ATOMIC_SPECIES
Mg 24.30 Mg.upf
Fe 55.84 Fe.upf
I 126.90 I.upf
CELL_PARAMETERS angstrom
6.449 -5.749 0.000
6.449 5.749 0.000
-0.448 0.000 6.872
ATOMIC_POSITIONS crystal
Mg 0.000 0.000 0.000
Fe 0.197 0.197 0.641
Fe 0.803 0.803 0.359
I 0.078 0.723 0.229
I 0.193 0.193 0.268
I 0.277 0.922 0.771
I 0.384 0.384 0.757
I 0.616 0.616 0.243
I 0.723 0.078 0.229
I 0.807 0.807 0.732
I 0.922 0.277 0.771
```



Record 3
Crystalline NbFe2I8 at its relaxed geometry. Source: OQMD via LeMat-Bulk, functional GGA-PBE. Values from VASP.

Computed properties:
- Symmetry: C2/m (12)
- Total DFT energy (no corrections): -0.28106 Ry/atom
- V: 41.7 Å³ per atom

```
&SYSTEM
  ibrav = 0, nat = 11, ntyp = 3
/
ATOMIC_SPECIES
Nb 92.91 Nb.upf
Fe 55.84 Fe.upf
I 126.90 I.upf
CELL_PARAMETERS angstrom
6.449 -5.370 0.000
6.449 5.370 0.000
-0.301 0.000 6.623
ATOMIC_POSITIONS crystal
Nb 0.000 0.000 0.000
Fe 0.179 0.179 0.659
Fe 0.821 0.821 0.341
I 0.109 0.716 0.222
I 0.180 0.180 0.263
I 0.284 0.891 0.778
I 0.370 0.370 0.753
I 0.630 0.630 0.247
I 0.716 0.109 0.222
I 0.820 0.820 0.737
I 0.891 0.284 0.778
```



Record 4
Crystalline Nd2Fe2I at its relaxed geometry. Source: OQMD via LeMat-Bulk, functional GGA-PBE. Values from VASP.

Computed properties:
- Symmetry: P-6m2 (187)
- Total DFT energy (no corrections): -0.44115 Ry/atom
- V: 24.7 Å³ per atom

```
&SYSTEM
  ibrav = 0, nat = 5, ntyp = 3
/
ATOMIC_SPECIES
Nd 144.24 Nd.upf
Fe 55.84 Fe.upf
I 126.90 I.upf
CELL_PARAMETERS angstrom
3.995 0.000 0.000
-1.998 3.460 0.000
0.000 0.000 8.948
ATOMIC_POSITIONS crystal
Nd 0.000 0.000 0.215
Nd 0.000 0.000 0.785
Fe 0.333 0.667 0.000
Fe 0.667 0.333 0.000
I 0.667 0.333 0.500
```



Record 5
Crystalline Nd2FeSiI2 at its relaxed geometry. Source: OQMD via LeMat-Bulk, functional GGA-PBE. Values from VASP.

Computed properties:
- Symmetry: P3m1 (156)
- Total DFT energy (no corrections): -0.39145 Ry/atom
- V: 30.8 Å³ per atom

```
&SYSTEM
  ibrav = 0, nat = 6, ntyp = 4
/
ATOMIC_SPECIES
Nd 144.24 Nd.upf
Fe 55.84 Fe.upf
Si 28.09 Si.upf
I 126.90 I.upf
CELL_PARAMETERS angstrom
4.164 0.000 0.000
-2.082 3.606 0.000
0.000 0.000 12.318
ATOMIC_POSITIONS crystal
Nd 0.000 0.000 0.000
Nd 0.000 0.000 0.317
Fe 0.333 0.667 0.158
Si 0.667 0.333 0.164
I 0.333 0.667 0.493
I 0.667 0.333 0.825
```



Record 6
Crystalline Pm7FeI12 at its relaxed geometry. Source: OQMD via LeMat-Bulk, functional GGA-PBE. Values from VASP.

Computed properties:
- Symmetry: R-3 (148)
- Total DFT energy (no corrections): -0.30948 Ry/atom
- V: 41.2 Å³ per atom

```
&SYSTEM
  ibrav = 0, nat = 20, ntyp = 3
/
ATOMIC_SPECIES
Pm 145.00 Pm.upf
Fe 55.84 Fe.upf
I 126.90 I.upf
CELL_PARAMETERS angstrom
7.985 4.610 3.727
-7.985 4.610 3.727
0.000 -9.221 3.727
ATOMIC_POSITIONS crystal
Pm 0.000 0.000 0.000
Pm 0.207 0.406 0.479
Pm 0.406 0.479 0.207
Pm 0.479 0.207 0.406
Pm 0.521 0.793 0.594
Pm 0.594 0.521 0.793
Pm 0.793 0.594 0.521
Fe 0.500 0.500 0.500
I 0.037 0.341 0.117
I 0.117 0.037 0.341
I 0.179 0.726 0.572
I 0.274 0.428 0.821
I 0.341 0.117 0.037
I 0.428 0.821 0.274
I 0.572 0.179 0.726
I 0.659 0.883 0.963
I 0.726 0.572 0.179
I 0.821 0.274 0.428
I 0.883 0.963 0.659
I 0.963 0.659 0.883
```



Record 7
Crystalline RbFeI3 at its relaxed geometry. Source: OQMD via LeMat-Bulk, functional GGA-PBE. Values from VASP.

Computed properties:
- Symmetry: P-1 (2)
- Total DFT energy (no corrections): -0.25600 Ry/atom
- V: 43.5 Å³ per atom

```
&SYSTEM
  ibrav = 0, nat = 10, ntyp = 3
/
ATOMIC_SPECIES
Rb 85.47 Rb.upf
Fe 55.84 Fe.upf
I 126.90 I.upf
CELL_PARAMETERS angstrom
6.850 0.000 0.000
0.096 8.376 0.000
0.423 4.086 7.578
ATOMIC_POSITIONS crystal
Rb 0.237 0.399 0.259
Rb 0.763 0.601 0.741
Fe 0.137 0.036 0.890
Fe 0.863 0.964 0.110
I 0.235 0.933 0.212
I 0.249 0.787 0.801
I 0.254 0.372 0.697
I 0.746 0.628 0.303
I 0.751 0.213 0.199
I 0.765 0.067 0.788
```



Record 8
Crystalline Fe2SbI8 at its relaxed geometry. Source: OQMD via LeMat-Bulk, functional GGA-PBE. Values from VASP.

Computed properties:
- Symmetry: C2/m (12)
- Total DFT energy (no corrections): -0.23655 Ry/atom
- V: 47.8 Å³ per atom

```
&SYSTEM
  ibrav = 0, nat = 11, ntyp = 3
/
ATOMIC_SPECIES
Fe 55.84 Fe.upf
Sb 121.76 Sb.upf
I 126.90 I.upf
CELL_PARAMETERS angstrom
7.567 -4.866 0.000
7.567 4.866 0.000
-0.092 0.000 7.138
ATOMIC_POSITIONS crystal
Fe 0.176 0.176 0.100
Fe 0.824 0.824 0.900
Sb 0.000 0.000 0.500
I 0.118 0.704 0.755
I 0.172 0.172 0.737
I 0.296 0.882 0.245
I 0.335 0.335 0.198
I 0.665 0.665 0.802
I 0.704 0.118 0.755
I 0.828 0.828 0.263
I 0.882 0.296 0.245
```



Record 9
Crystalline ScFe2I8 at its relaxed geometry. Source: OQMD via LeMat-Bulk, functional GGA-PBE. Values from VASP.

Computed properties:
- Symmetry: C2/m (12)
- Total DFT energy (no corrections): -0.27573 Ry/atom
- V: 45.7 Å³ per atom

```
&SYSTEM
  ibrav = 0, nat = 11, ntyp = 3
/
ATOMIC_SPECIES
Sc 44.96 Sc.upf
Fe 55.84 Fe.upf
I 126.90 I.upf
CELL_PARAMETERS angstrom
6.628 -5.562 0.000
6.628 5.562 0.000
-0.332 0.000 6.814
ATOMIC_POSITIONS crystal
Sc 0.000 0.000 0.000
Fe 0.186 0.186 0.648
Fe 0.814 0.814 0.352
I 0.096 0.722 0.225
I 0.183 0.183 0.265
I 0.278 0.904 0.775
I 0.368 0.368 0.759
I 0.632 0.632 0.241
I 0.722 0.096 0.225
I 0.817 0.817 0.735
I 0.904 0.278 0.775
```



Record 10
Crystalline Tb7FeI12 at its relaxed geometry. Source: OQMD via LeMat-Bulk, functional GGA-PBE. Values from VASP.

Computed properties:
- Symmetry: R-3 (148)
- Total DFT energy (no corrections): -0.30460 Ry/atom
- V: 39.1 Å³ per atom

```
&SYSTEM
  ibrav = 0, nat = 20, ntyp = 3
/
ATOMIC_SPECIES
Tb 158.93 Tb.upf
Fe 55.84 Fe.upf
I 126.90 I.upf
CELL_PARAMETERS angstrom
7.862 4.539 3.648
-7.862 4.539 3.648
0.000 -9.078 3.648
ATOMIC_POSITIONS crystal
Tb 0.000 0.000 0.000
Tb 0.211 0.478 0.408
Tb 0.408 0.211 0.478
Tb 0.478 0.408 0.211
Tb 0.522 0.592 0.789
Tb 0.592 0.789 0.522
Tb 0.789 0.522 0.592
Fe 0.500 0.500 0.500
I 0.037 0.114 0.340
I 0.114 0.340 0.037
I 0.180 0.572 0.726
I 0.274 0.820 0.428
I 0.340 0.037 0.114
I 0.428 0.274 0.820
I 0.572 0.726 0.180
I 0.660 0.963 0.886
I 0.726 0.180 0.572
I 0.820 0.428 0.274
I 0.886 0.660 0.963
I 0.963 0.886 0.660
```



Record 11
Crystalline FeTeI7 at its relaxed geometry. Source: OQMD via LeMat-Bulk, functional GGA-PBE. Values from VASP.

Computed properties:
- Symmetry: Pc (7)
- Total DFT energy (no corrections): -0.19189 Ry/atom
- V: 50.7 Å³ per atom

```
&SYSTEM
  ibrav = 0, nat = 18, ntyp = 3
/
ATOMIC_SPECIES
Fe 55.84 Fe.upf
Te 127.60 Te.upf
I 126.90 I.upf
CELL_PARAMETERS angstrom
7.651 0.000 0.000
0.000 7.409 0.000
-4.054 0.000 16.086
ATOMIC_POSITIONS crystal
Fe 0.000 0.003 0.000
Fe 0.000 0.997 0.500
Te 0.288 0.404 0.153
Te 0.288 0.596 0.653
I 0.182 0.382 0.768
I 0.182 0.618 0.268
I 0.315 0.119 0.999
I 0.315 0.881 0.499
I 0.505 0.168 0.265
I 0.505 0.832 0.765
I 0.564 0.392 0.621
I 0.564 0.608 0.121
I 0.778 0.142 0.875
I 0.778 0.858 0.375
I 0.935 0.125 0.135
I 0.935 0.875 0.635
I 0.974 0.337 0.492
I 0.974 0.663 0.992
```



Record 12
Crystalline Tl3FeI5 at its relaxed geometry. Source: OQMD via LeMat-Bulk, functional GGA-PBE. Values from VASP.

Computed properties:
- Symmetry: I4/mcm (140)
- Total DFT energy (no corrections): -0.22193 Ry/atom
- V: 39.7 Å³ per atom

```
&SYSTEM
  ibrav = 0, nat = 18, ntyp = 3
/
ATOMIC_SPECIES
Tl 204.38 Tl.upf
Fe 55.84 Fe.upf
I 126.90 I.upf
CELL_PARAMETERS angstrom
-4.668 4.668 8.202
4.668 -4.668 8.202
4.668 4.668 -8.202
ATOMIC_POSITIONS crystal
Tl 0.151 0.651 0.803
Tl 0.250 0.250 0.000
Tl 0.349 0.151 0.500
Tl 0.651 0.849 0.500
Tl 0.750 0.750 0.000
Tl 0.849 0.349 0.197
Fe 0.250 0.750 0.500
Fe 0.750 0.250 0.500
I 0.000 0.000 0.000
I 0.004 0.194 0.500
I 0.194 0.694 0.189
I 0.306 0.496 0.500
I 0.496 0.996 0.189
I 0.500 0.500 0.000
I 0.504 0.004 0.811
I 0.694 0.504 0.500
I 0.806 0.306 0.811
I 0.996 0.806 0.500
```



Record 13
Crystalline TlFeI3 at its relaxed geometry. Source: OQMD via LeMat-Bulk, functional GGA-PBE. Values from VASP.

Computed properties:
- Symmetry: Pnma (62)
- Total DFT energy (no corrections): -0.24681 Ry/atom
- V: 34.4 Å³ per atom

```
&SYSTEM
  ibrav = 0, nat = 20, ntyp = 3
/
ATOMIC_SPECIES
Tl 204.38 Tl.upf
Fe 55.84 Fe.upf
I 126.90 I.upf
CELL_PARAMETERS angstrom
10.037 0.000 0.000
0.000 4.278 0.000
0.000 0.000 16.024
ATOMIC_POSITIONS crystal
Tl 0.052 0.250 0.171
Tl 0.448 0.750 0.671
Tl 0.552 0.250 0.329
Tl 0.948 0.750 0.829
Fe 0.160 0.750 0.447
Fe 0.340 0.250 0.947
Fe 0.660 0.750 0.053
Fe 0.840 0.250 0.553
I 0.019 0.750 0.601
I 0.177 0.750 0.006
I 0.225 0.250 0.792
I 0.275 0.750 0.292
I 0.323 0.250 0.506
I 0.481 0.250 0.101
I 0.519 0.750 0.899
I 0.677 0.750 0.494
I 0.725 0.250 0.708
I 0.775 0.750 0.208
I 0.823 0.250 0.994
I 0.981 0.250 0.399
```



Record 14
Crystalline TlFeI4 at its relaxed geometry. Source: OQMD via LeMat-Bulk, functional GGA-PBE. Values from VASP.

Computed properties:
- Symmetry: Pnna (52)
- Total DFT energy (no corrections): -0.23220 Ry/atom
- V: 43.5 Å³ per atom

```
&SYSTEM
  ibrav = 0, nat = 24, ntyp = 3
/
ATOMIC_SPECIES
Tl 204.38 Tl.upf
Fe 55.84 Fe.upf
I 126.90 I.upf
CELL_PARAMETERS angstrom
8.234 0.000 0.000
0.000 11.219 0.000
0.000 0.000 11.297
ATOMIC_POSITIONS crystal
Tl 0.156 0.250 0.250
Tl 0.344 0.750 0.250
Tl 0.656 0.250 0.750
Tl 0.844 0.750 0.750
Fe 0.250 0.000 0.680
Fe 0.250 0.500 0.820
Fe 0.750 0.000 0.320
Fe 0.750 0.500 0.180
I 0.003 0.042 0.813
I 0.003 0.458 0.687
I 0.174 0.680 0.946
I 0.174 0.820 0.554
I 0.326 0.180 0.554
I 0.326 0.320 0.946
I 0.497 0.542 0.687
I 0.497 0.958 0.813
I 0.503 0.042 0.187
I 0.503 0.458 0.313
I 0.674 0.680 0.054
I 0.674 0.820 0.446
I 0.826 0.180 0.446
I 0.826 0.320 0.054
I 0.997 0.542 0.313
I 0.997 0.958 0.187
```



Record 15
Crystalline Tl2FeI4 at its relaxed geometry. Source: OQMD via LeMat-Bulk, functional GGA-PBE. Values from VASP.

Computed properties:
- Symmetry: P2_1 (4)
- Total DFT energy (no corrections): -0.23310 Ry/atom
- V: 42.1 Å³ per atom

```
&SYSTEM
  ibrav = 0, nat = 14, ntyp = 3
/
ATOMIC_SPECIES
Tl 204.38 Tl.upf
Fe 55.84 Fe.upf
I 126.90 I.upf
CELL_PARAMETERS angstrom
7.880 0.000 0.000
0.000 8.233 0.000
-2.938 0.000 9.094
ATOMIC_POSITIONS crystal
Tl 0.231 0.000 0.054
Tl 0.254 0.986 0.567
Tl 0.746 0.486 0.433
Tl 0.769 0.500 0.946
Fe 0.217 0.544 0.799
Fe 0.783 0.044 0.201
I 0.025 0.277 0.269
I 0.025 0.278 0.746
I 0.404 0.579 0.076
I 0.417 0.573 0.625
I 0.583 0.073 0.375
I 0.596 0.079 0.924
I 0.975 0.777 0.731
I 0.975 0.778 0.254
```



Record 16
Crystalline ZnFeI at its relaxed geometry. Source: OQMD via LeMat-Bulk, functional GGA-PBE. Values from VASP.

Computed properties:
- Symmetry: R-3m (166)
- Total DFT energy (no corrections): -0.25629 Ry/atom
- V: 23.9 Å³ per atom

```
&SYSTEM
  ibrav = 0, nat = 6, ntyp = 3
/
ATOMIC_SPECIES
Zn 65.41 Zn.upf
Fe 55.84 Fe.upf
I 126.90 I.upf
CELL_PARAMETERS angstrom
1.939 1.120 11.019
-1.939 1.120 11.019
0.000 -2.239 11.019
ATOMIC_POSITIONS crystal
Zn 0.106 0.106 0.106
Zn 0.894 0.894 0.894
Fe 0.182 0.182 0.182
Fe 0.818 0.818 0.818
I 0.388 0.388 0.388
I 0.612 0.612 0.612
```



Record 17
Crystalline In3Fe2 at its relaxed geometry. Source: OQMD via LeMat-Bulk, functional GGA-PBE. Values from VASP.

Computed properties:
- Symmetry: R-3c (167)
- Total DFT energy (no corrections): -0.33731 Ry/atom
- V: 20.0 Å³ per atom

```
&SYSTEM
  ibrav = 0, nat = 10, ntyp = 2
/
ATOMIC_SPECIES
In 114.82 In.upf
Fe 55.84 Fe.upf
CELL_PARAMETERS angstrom
3.050 1.761 6.220
-3.050 1.761 6.220
0.000 -3.522 6.220
ATOMIC_POSITIONS crystal
In 0.156 0.750 0.344
In 0.250 0.656 0.844
In 0.344 0.156 0.750
In 0.656 0.844 0.250
In 0.750 0.344 0.156
In 0.844 0.250 0.656
Fe 0.187 0.187 0.187
Fe 0.313 0.313 0.313
Fe 0.687 0.687 0.687
Fe 0.813 0.813 0.813
```



Record 18
Crystalline Li2Mg2In2FeIr at its relaxed geometry. Source: OQMD via LeMat-Bulk, functional GGA-PBE. Values from VASP.

Computed properties:
- Symmetry: P-4m2 (115)
- Total DFT energy (no corrections): -0.28451 Ry/atom
- V: 16.6 Å³ per atom

```
&SYSTEM
  ibrav = 0, nat = 8, ntyp = 5
/
ATOMIC_SPECIES
Li 6.94 Li.upf
Mg 24.30 Mg.upf
In 114.82 In.upf
Fe 55.84 Fe.upf
Ir 192.22 Ir.upf
CELL_PARAMETERS angstrom
4.509 0.000 0.000
0.000 4.509 0.000
0.000 0.000 6.517
ATOMIC_POSITIONS crystal
Li 0.000 0.000 0.000
Li 0.500 0.500 0.500
Mg 0.000 0.500 0.241
Mg 0.500 0.000 0.759
In 0.000 0.500 0.746
In 0.500 0.000 0.254
Fe 0.000 0.000 0.500
Ir 0.500 0.500 0.000
```



Record 19
Crystalline InFeMoIr at its relaxed geometry. Source: OQMD via LeMat-Bulk, functional GGA-PBE. Values from VASP.

Computed properties:
- Offset from the most stable computed form: 0.0 kJ per mole of atoms
- Symmetry: F-43m (216)
- V: 15.6 Å³ per atom

```
&SYSTEM
  ibrav = 0, nat = 4, ntyp = 4
/
ATOMIC_SPECIES
In 114.82 In.upf
Fe 55.84 Fe.upf
Mo 95.94 Mo.upf
Ir 192.22 Ir.upf
CELL_PARAMETERS angstrom
0.000 3.145 3.145
3.145 0.000 3.145
3.145 3.145 0.000
ATOMIC_POSITIONS crystal
In 0.000 0.000 0.000
Fe 0.250 0.250 0.250
Mo 0.500 0.500 0.500
Ir 0.750 0.750 0.750
```



Record 20
Crystalline InFeNiIr at its relaxed geometry. Source: OQMD via LeMat-Bulk, functional GGA-PBE. Values from VASP.

Computed properties:
- Offset from the most stable computed form: 0.0 kJ per mole of atoms
- Symmetry: F-43m (216)
- V: 14.2 Å³ per atom

```
&SYSTEM
  ibrav = 0, nat = 4, ntyp = 4
/
ATOMIC_SPECIES
In 114.82 In.upf
Fe 55.84 Fe.upf
Ni 58.69 Ni.upf
Ir 192.22 Ir.upf
CELL_PARAMETERS angstrom
0.000 3.055 3.055
3.055 0.000 3.055
3.055 3.055 0.000
ATOMIC_POSITIONS crystal
In 0.000 0.000 0.000
Fe 0.250 0.250 0.250
Ni 0.750 0.750 0.750
Ir 0.500 0.500 0.500
```